The following is a DFT calculation (GGA-PBE) of crystalline TaReW2 at its relaxed geometry.

Values from the calculation:
Relative energy among the computed polymorphs (meV/atom): 13.7
Mass density (g/cm³): 18.7
Formation enthalpy at 0 K (eV per atom): -0.14
Volume (Å³ per atom): 16.30
Fermi-level density of states (states/eV per cell): 2.211

Unit cell a=5.328 b=5.328 c=5.328 alpha=145.28 beta=130.08 gamma=62.24
Sites, in units of the cell vectors:
Ta (0.000, 0.000, 0.000)
Re (0.500, 0.500, 0.000)
W (0.252, 0.752, 0.500)
W (0.748, 0.248, 0.500)

The following is a DFT calculation (GGA-PBE) of crystalline PaAsPdS at its relaxed geometry.

Values from the calculation:
Mass density (g/cm³): 9.8
Uncorrected energy (eV per atom): -6.96
Volume (Å³ per atom): 18.89
Fermi-level density of states (states/eV per cell): 3.055

Unit cell a=4.189 b=4.189 c=8.609 alpha=90.00 beta=90.00 gamma=90.00
Sites, in units of the cell vectors:
Pa (0.250, 0.250, 0.210)
Pa (0.750, 0.750, 0.790)
As (0.250, 0.250, 0.685)
As (0.750, 0.750, 0.315)
Pd (0.250, 0.750, 0.500)
Pd (0.750, 0.250, 0.500)
S (0.250, 0.750, 0.000)
S (0.750, 0.250, 0.000)

The following is a DFT calculation (GGA-PBE) of crystalline HoTm3Mg at its relaxed geometry.

Values from the calculation:
Relative energy among the computed polymorphs (meV/atom): 38.2
Mass density (g/cm³): 7.8
Formation enthalpy at 0 K (eV per atom): 0.07
Volume (Å³ per atom): 29.61
Fermi-level density of states (states/eV per cell): 11.995

Unit cell a=3.430 b=6.858 c=12.702 alpha=90.00 beta=97.75 gamma=90.00
Sites, in units of the cell vectors:
Ho (0.204, 0.250, 0.406)
Ho (0.796, 0.750, 0.594)
Tm (0.001, 0.750, 0.003)
Tm (0.402, 0.509, 0.803)
Tm (0.402, 0.991, 0.803)
Tm (0.598, 0.009, 0.197)
Tm (0.598, 0.491, 0.197)
Tm (0.999, 0.250, 0.997)
Mg (0.183, 0.750, 0.371)
Mg (0.817, 0.250, 0.629)

The following is a DFT calculation (GGA-PBE) of crystalline NiHPt at its relaxed geometry.

Values from the calculation:
Relative energy among the computed polymorphs (meV/atom): 28.8
Mass density (g/cm³): 14.2
Volume (Å³ per atom): 9.93
Fermi-level density of states (states/eV per cell): 6.663

Unit cell a=4.793 b=2.754 c=4.798 alpha=90.00 beta=109.89 gamma=90.00
Sites, in units of the cell vectors:
Ni (0.004, 0.250, 0.238)
Ni (0.996, 0.750, 0.762)
H (0.118, 0.250, 0.630)
H (0.882, 0.750, 0.370)
Pt (0.483, 0.750, 0.244)
Pt (0.517, 0.250, 0.756)

The following is a DFT calculation (GGA-PBE) of crystalline BeV3Sn at its relaxed geometry.

Values from the calculation:
Relative energy among the computed polymorphs (meV/atom): 0.0
Mass density (g/cm³): 6.3
Formation enthalpy at 0 K (eV per atom): 0.35
Volume (Å³ per atom): 14.71
Fermi-level density of states (states/eV per cell): 5.423

Unit cell a=4.190 b=4.190 c=4.190 alpha=90.00 beta=90.00 gamma=90.00
Sites, in units of the cell vectors:
Be (0.000, 0.000, 0.000)
V (0.000, 0.000, 0.500)
V (0.000, 0.500, 0.000)
V (0.500, 0.000, 0.000)
Sn (0.500, 0.500, 0.500)

The following is a DFT calculation (GGA-PBE) of crystalline VCr3W at its relaxed geometry.

Values from the calculation:
Relative energy among the computed polymorphs (meV/atom): 0.0
Mass density (g/cm³): 10.1
Formation enthalpy at 0 K (eV per atom): -0.05
Volume (Å³ per atom): 12.89
Fermi-level density of states (states/eV per cell): 5.013

Unit cell a=7.685 b=7.685 c=4.180 alpha=90.00 beta=90.00 gamma=148.54
Sites, in units of the cell vectors:
V (0.149, 0.851, 0.750)
V (0.851, 0.149, 0.250)
Cr (0.046, 0.954, 0.250)
Cr (0.250, 0.750, 0.250)
Cr (0.453, 0.547, 0.250)
Cr (0.547, 0.453, 0.750)
Cr (0.750, 0.250, 0.750)
Cr (0.954, 0.046, 0.750)
W (0.350, 0.650, 0.750)
W (0.650, 0.350, 0.250)

The following is a DFT calculation (GGA-PBE) of crystalline TbHo7Er5 at its relaxed geometry.

Values from the calculation:
Mass density (g/cm³): 8.6
Formation enthalpy at 0 K (eV per atom): 0.26
Volume (Å³ per atom): 32.03
Fermi-level density of states (states/eV per cell): 25.526

Unit cell a=8.599 b=8.599 c=8.599 alpha=134.78 beta=100.12 gamma=96.89
Sites, in units of the cell vectors:
Tb (0.000, 0.000, 0.000)
Ho (0.227, 0.556, 0.671)
Ho (0.306, 0.306, 0.000)
Ho (0.384, 0.055, 0.329)
Ho (0.613, 0.613, 0.000)
Ho (0.726, 0.055, 0.671)
Ho (0.806, 0.306, 0.500)
Ho (0.885, 0.556, 0.329)
Er (0.033, 0.038, 0.461)
Er (0.033, 0.572, 0.995)
Er (0.306, 0.806, 0.500)
Er (0.577, 0.038, 0.005)
Er (0.577, 0.572, 0.539)

The following is a DFT calculation (GGA-PBE) of crystalline Cs3ZnSb2O6 at its relaxed geometry.

Values from the calculation:
Mass density (g/cm³): 5.0
Uncorrected energy (eV per atom): -4.76
Volume (Å³ per atom): 22.07
Fermi-level density of states (states/eV per cell): 3.267

Unit cell a=6.267 b=6.267 c=7.785 alpha=90.00 beta=90.00 gamma=120.00
Sites, in units of the cell vectors:
Cs (0.000, 0.000, 0.000)
Cs (0.333, 0.667, 0.683)
Cs (0.667, 0.333, 0.317)
Zn (0.000, 0.000, 0.500)
Sb (0.333, 0.667, 0.238)
Sb (0.667, 0.333, 0.762)
O (0.167, 0.335, 0.335)
O (0.167, 0.833, 0.335)
O (0.335, 0.167, 0.665)
O (0.665, 0.833, 0.335)
O (0.833, 0.167, 0.665)
O (0.833, 0.665, 0.665)

The following is a DFT calculation (GGA-PBE) of crystalline Al3C at its relaxed geometry.

Values from the calculation:
Relative energy among the computed polymorphs (meV/atom): 412.4
Mass density (g/cm³): 2.5
Formation enthalpy at 0 K (eV per atom): 0.44
Volume (Å³ per atom): 15.26
Fermi-level density of states (states/eV per cell): 3.305

Unit cell a=7.174 b=7.174 c=2.739 alpha=90.00 beta=90.00 gamma=120.00
Sites, in units of the cell vectors:
Al (0.201, 0.402, 0.250)
Al (0.201, 0.799, 0.250)
Al (0.402, 0.201, 0.750)
Al (0.598, 0.799, 0.250)
Al (0.799, 0.201, 0.750)
Al (0.799, 0.598, 0.750)
C (0.333, 0.667, 0.750)
C (0.667, 0.333, 0.250)

The following is a DFT calculation (GGA-PBE) of crystalline TmReO5 at its relaxed geometry.

Values from the calculation:
Mass density (g/cm³): 7.6
Uncorrected energy (eV per atom): -8.23
Volume (Å³ per atom): 13.65

Unit cell a=5.456 b=5.456 c=7.522 alpha=110.33 beta=110.33 gamma=70.67
Sites, in units of the cell vectors:
Tm (0.049, 0.951, 0.750)
Tm (0.951, 0.049, 0.250)
Re (0.500, 0.500, 0.000)
Re (0.500, 0.500, 0.500)
O (0.194, 0.779, 0.040)
O (0.221, 0.806, 0.460)
O (0.252, 0.293, 0.381)
O (0.293, 0.252, 0.881)
O (0.420, 0.580, 0.750)
O (0.580, 0.420, 0.250)
O (0.707, 0.748, 0.119)
O (0.748, 0.707, 0.619)
O (0.779, 0.194, 0.540)
O (0.806, 0.221, 0.960)

The following is a DFT calculation (GGA-PBE) of crystalline Ti4Ga3Ni2 at its relaxed geometry.

Values from the calculation:
Mass density (g/cm³): 6.5
Formation enthalpy at 0 K (eV per atom): -0.45
Volume (Å³ per atom): 14.60
Fermi-level density of states (states/eV per cell): 6.719

Unit cell a=7.344 b=7.344 c=2.813 alpha=90.00 beta=90.00 gamma=120.00
Sites, in units of the cell vectors:
Ti (0.000, 0.000, 0.000)
Ti (0.000, 0.367, 0.000)
Ti (0.367, 0.000, 0.000)
Ti (0.633, 0.633, 0.000)
Ga (0.000, 0.687, 0.500)
Ga (0.313, 0.313, 0.500)
Ga (0.687, 0.000, 0.500)
Ni (0.333, 0.667, 0.500)
Ni (0.667, 0.333, 0.500)

The following is a DFT calculation (GGA-PBE) of crystalline KYBr3 at its relaxed geometry.

Values from the calculation:
Mass density (g/cm³): 3.8
Uncorrected energy (eV per atom): -4.17
Volume (Å³ per atom): 31.87
Fermi-level density of states (states/eV per cell): 0.943

Unit cell a=9.517 b=4.055 c=16.514 alpha=90.00 beta=90.00 gamma=90.00
Sites, in units of the cell vectors:
K (0.066, 0.250, 0.177)
K (0.434, 0.750, 0.677)
K (0.566, 0.250, 0.323)
K (0.934, 0.750, 0.823)
Y (0.133, 0.750, 0.455)
Y (0.367, 0.250, 0.955)
Y (0.633, 0.750, 0.045)
Y (0.867, 0.250, 0.545)
Br (0.045, 0.750, 0.626)
Br (0.166, 0.750, 0.009)
Br (0.223, 0.250, 0.801)
Br (0.277, 0.750, 0.301)
Br (0.334, 0.250, 0.509)
Br (0.455, 0.250, 0.126)
Br (0.545, 0.750, 0.874)
Br (0.666, 0.750, 0.491)
Br (0.723, 0.250, 0.699)
Br (0.777, 0.750, 0.199)
Br (0.834, 0.250, 0.991)
Br (0.955, 0.250, 0.374)

Q: Among the records above, which one has the lowest volume?
A: NiHPt